Computed, not measured: a relaxed Ce2BiRu crystal at the GGA-PBE level of DFT.

Calculated values
The value obtained for the density of states at the Fermi level is 1.800 states/eV per atom. Its polymorph energy (0 for the lowest one) is 107 meV/atom. The calculation puts the uncorrected energy at -6.60 eV/atom. Its crystal system is monoclinic. As for the energy of formation from the pure elements: -1.37 eV per formula unit.

a b c (Å): 7.376 7.376 6.161
angles (deg): 113.90 113.90 50.67
Fractional positions:
Ce1 0.117 0.117 0.336
Ce2 0.331 0.331 0.074
Ce3 0.669 0.669 0.926
Ce4 0.883 0.883 0.664
Bi1 0.392 0.392 0.632
Bi2 0.608 0.608 0.368
Ru1 0.136 0.136 0.896
Ru2 0.864 0.864 0.104

***

Computed, not measured: a relaxed PrMg2Tl crystal at the GGA-PBE level of DFT.

Calculated values
The value obtained for the density of states at the Fermi level is 0.694 states/eV per atom. Its polymorph energy (0 for the lowest one) is 10 meV/atom. The calculation puts the uncorrected energy at -2.80 eV/atom. Its crystal system is orthorhombic. As for the energy of formation from the pure elements: -0.88 eV per formula unit.

a b c (Å): 4.893 6.403 6.885
angles (deg): 90.00 90.00 90.00
Fractional positions:
Pr1 0.250 0.250 0.094
Pr2 0.750 0.750 0.906
Mg1 0.250 0.505 0.634
Mg2 0.250 0.995 0.634
Mg3 0.750 0.005 0.366
Mg4 0.750 0.495 0.366
Tl1 0.250 0.750 0.237
Tl2 0.750 0.250 0.763

***

Computed, not measured: a relaxed BeGe2Mo2 crystal at the GGA-PBE level of DFT.

Calculated values
The value obtained for the density of states at the Fermi level is 0.318 states/eV per atom. Its polymorph energy (0 for the lowest one) is 0 meV/atom. The calculation puts the uncorrected energy at -6.85 eV/atom. Its crystal system is tetragonal. As for the energy of formation from the pure elements: 0.36 eV per formula unit.

a b c (Å): 6.485 6.485 3.592
angles (deg): 90.00 90.00 90.00
Fractional positions:
Be1 0.000 0.000 0.000
Be2 0.500 0.500 0.000
Ge1 0.147 0.353 0.500
Ge2 0.353 0.853 0.500
Ge3 0.647 0.147 0.500
Ge4 0.853 0.647 0.500
Mo1 0.158 0.658 0.000
Mo2 0.342 0.158 0.000
Mo3 0.658 0.842 0.000
Mo4 0.842 0.342 0.000

***

Computed, not measured: a relaxed Cs2NaPuO4 crystal at the GGA-PBE level of DFT.

Calculated values
The value obtained for the density of states at the Fermi level is 0.679 states/eV per atom. The calculation puts the uncorrected energy at -6.68 eV/atom. As for the energy relative to the elements, uncorrected: -16.25 eV/f.u. Its crystal system is monoclinic.

a b c (Å): 6.292 3.610 7.162
angles (deg): 90.00 108.63 90.00
Fractional positions:
Cs1 0.000 0.000 0.000
Cs2 0.500 0.500 0.000
Na1 0.000 0.500 0.500
Pu1 0.500 0.000 0.500
O1 0.291 0.000 0.659
O2 0.304 0.500 0.325
O3 0.696 0.500 0.675
O4 0.709 0.000 0.341

***

Computed, not measured: a relaxed Li2CaZr crystal at the GGA-PBE level of DFT.

Calculated values
The value obtained for the density of states at the Fermi level is 1.243 states/eV per atom. Its polymorph energy (0 for the lowest one) is 70 meV/atom. The calculation puts the uncorrected energy at -3.27 eV/atom. Its crystal system is tetragonal. As for the energy of formation from the pure elements: 1.30 eV per formula unit.

a b c (Å): 3.182 3.182 9.556
angles (deg): 90.00 90.00 90.00
Fractional positions:
Li1 0.000 0.000 0.230
Li2 0.000 0.000 0.770
Ca1 0.500 0.500 0.500
Zr1 0.500 0.500 0.000

***

Computed, not measured: a relaxed KRu3Cl crystal at the GGA-PBE level of DFT.

Calculated values
The value obtained for the density of states at the Fermi level is 1.479 states/eV per atom. Its polymorph energy (0 for the lowest one) is 1611 meV/atom. The calculation puts the uncorrected energy at -3.21 eV/atom. As for the energy relative to the elements, uncorrected: 14.71 eV/f.u. Its crystal system is cubic.

a b c (Å): 4.949 4.949 4.949
angles (deg): 90.00 90.00 90.00
Fractional positions:
K1 0.000 0.000 0.000
Ru1 0.000 0.000 0.500
Ru2 0.000 0.500 0.000
Ru3 0.500 0.000 0.000
Cl1 0.500 0.500 0.500

***

Computed, not measured: a relaxed Rb2HfNb3O12 crystal at the GGA-PBE level of DFT.

Calculated values
The value obtained for the density of states at the Fermi level is 0.718 states/eV per atom. The calculation puts the uncorrected energy at -7.90 eV/atom. As for the energy relative to the elements, uncorrected: -40.63 eV/f.u. Its crystal system is trigonal.

a b c (Å): 7.591 7.591 7.591
angles (deg): 60.04 60.04 60.04
Fractional positions:
Rb1 0.126 0.126 0.126
Rb2 0.874 0.874 0.874
Hf1 0.500 0.500 0.500
Nb1 0.000 0.500 0.500
Nb2 0.500 0.000 0.500
Nb3 0.500 0.500 0.000
O1 0.177 0.568 0.568
O2 0.190 0.190 0.564
O3 0.190 0.564 0.190
O4 0.432 0.432 0.823
O5 0.432 0.823 0.432
O6 0.436 0.810 0.810
O7 0.564 0.190 0.190
O8 0.568 0.177 0.568
O9 0.568 0.568 0.177
O10 0.810 0.436 0.810
O11 0.810 0.810 0.436
O12 0.823 0.432 0.432

***

Computed, not measured: a relaxed Ac12Si4Sn crystal at the GGA-PBE level of DFT.

Calculated values
The value obtained for the density of states at the Fermi level is 1.522 states/eV per atom. The calculation puts the uncorrected energy at -4.49 eV/atom. As for the energy relative to the elements, uncorrected: -1.30 eV/f.u. Its crystal system is cubic.

a b c (Å): 9.807 9.807 9.807
angles (deg): 109.47 109.47 109.47
Fractional positions:
Ac1 0.145 0.832 0.313
Ac2 0.168 0.313 0.481
Ac3 0.168 0.687 0.855
Ac4 0.313 0.145 0.832
Ac5 0.313 0.481 0.168
Ac6 0.481 0.168 0.313
Ac7 0.519 0.832 0.687
Ac8 0.687 0.519 0.832
Ac9 0.687 0.855 0.168
Ac10 0.832 0.313 0.145
Ac11 0.832 0.687 0.519
Ac12 0.855 0.168 0.687
Si1 0.000 0.000 0.500
Si2 0.000 0.500 0.000
Si3 0.500 0.000 0.000
Si4 0.500 0.500 0.500
Sn1 0.000 0.000 0.000

***

What did the third record say?
Computed, not measured: a relaxed BeGe2Mo2 crystal at the GGA-PBE level of DFT.

Calculated values
The value obtained for the density of states at the Fermi level is 0.318 states/eV per atom. Its polymorph energy (0 for the lowest one) is 0 meV/atom. The calculation puts the uncorrected energy at -6.85 eV/atom. Its crystal system is tetragonal. As for the energy of formation from the pure elements: 0.36 eV per formula unit.

a b c (Å): 6.485 6.485 3.592
angles (deg): 90.00 90.00 90.00
Fractional positions:
Be1 0.000 0.000 0.000
Be2 0.500 0.500 0.000
Ge1 0.147 0.353 0.500
Ge2 0.353 0.853 0.500
Ge3 0.647 0.147 0.500
Ge4 0.853 0.647 0.500
Mo1 0.158 0.658 0.000
Mo2 0.342 0.158 0.000
Mo3 0.658 0.842 0.000
Mo4 0.842 0.342 0.000